Entry 1:
Here is LaSmBi after structural relaxation from Alexandria. Energies are from PBE.

Structure (POSCAR):
```
LaSmBi
1.0
4.1798 0.0000 0.0000
0.0000 5.3437 0.0000
0.0000 -2.6719 4.6278
Sm Bi La
1 1 1
direct
0.2191 0.6667 0.3333
0.0810 0.0000 0.0000
0.6999 0.3333 0.6667
```

Calculated values
Calculated volume, Å³/cell: 103
Energy, eV/atom: -4.86
Formation energy from the elements, eV/atom: -0.353



Entry 2:
Here is La5SmBi6 after structural relaxation from Alexandria. Energies are from PBE.

Structure (POSCAR):
```
La5SmBi6
1.0
8.1054 0.2219 0.0000
2.4949 7.7158 0.0000
1.2474 3.8579 7.0216
La Bi Sm
5 6 1
direct
0.0000 0.6662 0.6675
0.5000 0.1679 0.6642
0.0000 0.3338 0.3325
0.5000 0.5000 0.0000
0.5000 0.8321 0.3358
0.2484 0.2463 0.0000
0.7529 0.0823 0.3295
0.7516 0.7537 0.0000
0.2471 0.5883 0.3295
0.2471 0.9177 0.6705
0.7529 0.4117 0.6705
0.0000 0.0000 0.0000
```

Calculated values
Calculated volume, Å³/cell: 435
Energy, eV/atom: -5.42
Formation energy from the elements, eV/atom: -1.034



Entry 3:
Here is LaSm3Bi3 after structural relaxation from Alexandria. Energies are from PBE.

Structure (POSCAR):
```
LaSm3Bi3
1.0
-2.6503 -2.4007 -8.9745
-1.7541 -9.0353 2.9350
-9.1229 2.4347 2.0428
Bi Sm La
12 12 4
direct
0.2554 0.1209 0.4992
0.8791 0.9992 0.2446
0.3791 0.5008 0.7554
0.2446 0.8791 0.9992
0.7446 0.6209 0.0008
0.5008 0.7554 0.3791
0.0008 0.7446 0.6209
0.4992 0.2554 0.1209
0.7554 0.3791 0.5008
0.6209 0.0008 0.7446
0.1209 0.4992 0.2554
0.9992 0.2446 0.8791
0.4247 0.5753 0.0753
0.5753 0.0753 0.4247
0.9247 0.9247 0.9247
0.6801 0.6801 0.6801
0.8199 0.3199 0.1801
0.1794 0.1794 0.1794
0.3199 0.1801 0.8199
0.1801 0.8199 0.3199
0.0753 0.4247 0.5753
0.8206 0.6794 0.3206
0.3206 0.8206 0.6794
0.6794 0.3206 0.8206
0.0704 0.5704 0.9296
0.4296 0.4296 0.4296
0.5704 0.9296 0.0704
0.9296 0.0704 0.5704
```

Calculated values
Calculated volume, Å³/cell: 902
Energy, eV/atom: -5.22
Formation energy from the elements, eV/atom: -0.830



Entry 4:
Here is LaSm3Bi4 after structural relaxation from Alexandria. Energies are from PBE.

Structure (POSCAR):
```
LaSm3Bi4
1.0
4.5999 0.0000 0.0000
0.0000 7.9578 -0.0757
0.0000 -2.5807 7.5280
Bi Sm La
4 3 1
direct
0.5000 0.7476 0.2524
0.0000 0.2550 0.2550
0.0000 0.7450 0.7450
0.5000 0.2524 0.7476
0.5000 0.5000 0.5000
0.0000 0.5000 0.0000
0.0000 0.0000 0.5000
0.5000 0.0000 0.0000
```

Calculated values
Calculated volume, Å³/cell: 275
Energy, eV/atom: -5.28
Formation energy from the elements, eV/atom: -0.956



Entry 5:
Here is LaSm8Bi6 after structural relaxation from Alexandria. Energies are from PBE.

Structure (POSCAR):
```
LaSm8Bi6
1.0
8.3702 0.0000 0.0000
4.1851 7.2488 0.0000
4.1851 2.4163 8.6329
Sm Bi La
8 6 1
direct
0.2060 0.8751 0.3679
0.8751 0.5509 0.3679
0.4491 0.7940 0.6321
0.3335 0.3335 0.9996
0.6665 0.6665 0.0004
0.7940 0.1249 0.6321
0.1249 0.4491 0.6321
0.5509 0.2060 0.3679
0.2710 0.5912 0.2044
0.0666 0.7290 0.7956
0.9334 0.2710 0.2044
0.7290 0.4088 0.7956
0.5912 0.9334 0.2044
0.4088 0.0666 0.7956
0.0000 0.0000 0.0000
```

Calculated values
Calculated volume, Å³/cell: 524
Energy, eV/atom: -4.99
Formation energy from the elements, eV/atom: -0.595



Entry 6:
Here is LaSmBi after structural relaxation from Alexandria. Energies are from PBE.

Structure (POSCAR):
```
LaSmBi
1.0
4.7030 0.0000 0.0000
0.0000 4.7030 0.0000
0.0000 0.0000 9.1089
La Bi Sm
2 2 2
direct
0.0000 0.5000 0.8518
0.5000 0.0000 0.1482
0.5000 0.0000 0.7740
0.0000 0.5000 0.2260
0.0000 0.0000 0.5000
0.5000 0.5000 0.5000
```

Calculated values
Calculated volume, Å³/cell: 201
Energy, eV/atom: -5.21
Formation energy from the elements, eV/atom: -0.696



Entry 7:
Here is La3Sm2Bi4 after structural relaxation from Alexandria. Energies are from PBE.

Structure (POSCAR):
```
La3Sm2Bi4
1.0
-1.1360 -0.2804 4.7466
4.5287 -6.6663 -1.8275
2.9915 10.2294 1.3203
Bi La Sm
4 3 2
direct
0.0640 0.1281 0.4128
0.3440 0.6880 0.9623
0.9360 0.8719 0.5872
0.6560 0.3120 0.0377
0.3478 0.6956 0.2734
0.6522 0.3044 0.7266
0.0000 0.0000 0.0000
0.3505 0.7009 0.6650
0.6495 0.2991 0.3350
```

Calculated values
Calculated volume, Å³/cell: 307
Energy, eV/atom: -5.21
Formation energy from the elements, eV/atom: -0.797



Entry 8:
Here is LaSmBi after structural relaxation from Alexandria. Energies are from PBE.

Structure (POSCAR):
```
LaSmBi
1.0
-5.2778 -3.0167 -0.2660
1.5603 -2.5625 -1.8973
4.0795 -1.8038 9.1118
La Sm Bi
2 2 2
direct
0.3299 0.8299 0.6599
0.6701 0.1701 0.3401
0.7444 0.5000 0.0000
0.2556 0.5000 0.0000
0.8451 0.3451 0.6902
0.1549 0.6549 0.3098
```

Calculated values
Calculated volume, Å³/cell: 205
Energy, eV/atom: -4.88
Formation energy from the elements, eV/atom: -0.368



Entry 9:
Here is La2SmBi3 after structural relaxation from Alexandria. Energies are from PBE.

Structure (POSCAR):
```
La2SmBi3
1.0
7.9320 0.0322 -1.4672
-3.0385 7.3270 -1.4672
-0.0089 -0.0133 14.7273
La Bi Sm
8 12 4
direct
0.4172 0.4172 0.8344
0.6672 0.1672 0.3344
0.2507 0.2507 0.5013
0.7493 0.7493 0.4987
0.5828 0.5828 0.1656
0.8328 0.3328 0.6656
0.9993 0.4993 0.9987
0.5007 0.0007 0.0013
0.6654 0.1603 0.8314
0.1660 0.6711 0.8314
0.7558 0.7558 0.0000
0.5846 0.5897 0.6686
0.0058 0.5058 0.5000
0.4103 0.4154 0.3314
0.3289 0.8340 0.1686
0.4942 0.9942 0.5000
0.2442 0.2442 0.0000
0.8397 0.3346 0.1686
0.9211 0.9160 0.3314
0.0840 0.0789 0.6686
0.9165 0.9165 0.8331
0.0835 0.0835 0.1669
0.1665 0.6665 0.3331
0.3335 0.8335 0.6669
```

Calculated values
Calculated volume, Å³/cell: 857
Energy, eV/atom: -5.38
Formation energy from the elements, eV/atom: -1.012



Entry 10:
Here is La3SmBi3 after structural relaxation from Alexandria. Energies are from PBE.

Structure (POSCAR):
```
La3SmBi3
1.0
-2.3164 -6.5877 6.8905
3.2188 -7.2150 -5.8160
8.9731 0.8875 3.8651
Bi Sm La
12 4 12
direct
0.4990 0.7456 0.3711
0.2544 0.8711 0.0010
0.5010 0.2456 0.1289
0.7544 0.6289 0.9990
0.1289 0.5010 0.2456
0.0010 0.2544 0.8711
0.6289 0.9990 0.7544
0.9990 0.7544 0.6289
0.3711 0.4990 0.7456
0.7456 0.3711 0.4990
0.2456 0.1289 0.5010
0.8711 0.0010 0.2544
0.0716 0.5716 0.9284
0.9284 0.0716 0.5716
0.4284 0.4284 0.4284
0.5716 0.9284 0.0716
0.6770 0.6770 0.6770
0.6778 0.3222 0.8222
0.9315 0.9315 0.9315
0.5685 0.0685 0.4315
0.1770 0.8230 0.3230
0.3222 0.8222 0.6778
0.8230 0.3230 0.1770
0.3230 0.1770 0.8230
0.0685 0.4315 0.5685
0.4315 0.5685 0.0685
0.1778 0.1778 0.1778
0.8222 0.6778 0.3222
```

Calculated values
Calculated volume, Å³/cell: 944
Energy, eV/atom: -5.34
Formation energy from the elements, eV/atom: -0.890



Entry 11:
Here is LaSm2Bi after structural relaxation from Alexandria. Energies are from PBE.

Structure (POSCAR):
```
LaSm2Bi
1.0
4.1496 0.0000 0.0000
2.0748 3.5937 0.0000
2.0748 1.1979 9.8401
Sm La Bi
2 1 1
direct
0.2646 0.2646 0.2063
0.0687 0.0687 0.7939
0.5003 0.5003 0.4992
0.6665 0.6665 0.0005
```

Calculated values
Calculated volume, Å³/cell: 147
Energy, eV/atom: -4.79
Formation energy from the elements, eV/atom: -0.224



Entry 12:
Here is La2SmBi2 after structural relaxation from Alexandria. Energies are from PBE.

Structure (POSCAR):
```
La2SmBi2
1.0
-3.5278 1.9190 5.1939
3.9494 -6.3767 5.0385
4.2716 6.2397 -3.5536
La Bi Sm
4 4 2
direct
0.6485 0.0061 0.2971
0.3515 0.9939 0.7029
0.1485 0.2910 0.2971
0.8515 0.7090 0.7029
0.1102 0.8885 0.2205
0.3898 0.6680 0.7795
0.6102 0.3320 0.2205
0.8898 0.1115 0.7795
0.7500 0.5000 0.0000
0.2500 0.5000 0.0000
```

Calculated values
Calculated volume, Å³/cell: 369
Energy, eV/atom: -5.18
Formation energy from the elements, eV/atom: -0.708



Entry 13:
Here is LaSmBi after structural relaxation from Alexandria. Energies are from PBE.

Structure (POSCAR):
```
LaSmBi
1.0
4.2528 0.0000 0.0000
0.0000 4.2528 0.0000
-2.1264 -2.1264 5.2918
La Sm Bi
1 1 1
direct
0.9606 0.9606 0.9212
0.2673 0.2673 0.5346
0.6221 0.6221 0.2442
```

Calculated values
Calculated volume, Å³/cell: 96
Energy, eV/atom: -5.05
Formation energy from the elements, eV/atom: -0.545



Entry 14:
Here is La3SmBi2 after structural relaxation from Alexandria. Energies are from PBE.

Structure (POSCAR):
```
La3SmBi2
1.0
-3.2802 -2.8551 1.8579
2.6657 -3.7573 -1.0676
4.1167 0.5954 8.1834
La Bi Sm
3 2 1
direct
0.5000 0.0000 0.3537
0.0000 0.5000 0.6463
0.0000 0.0000 0.0000
0.5000 0.0000 0.7228
0.0000 0.5000 0.2772
0.5000 0.5000 0.0000
```

Calculated values
Calculated volume, Å³/cell: 205
Energy, eV/atom: -5.24
Formation energy from the elements, eV/atom: -0.698



Entry 15:
Here is LaSm4Bi2 after structural relaxation from Alexandria. Energies are from PBE.

Structure (POSCAR):
```
LaSm4Bi2
1.0
5.4098 0.0000 0.0000
0.0000 5.4098 0.0000
-2.7049 -2.7049 8.4439
Sm Bi La
4 2 1
direct
0.5000 0.0000 0.0000
0.0000 0.5000 0.0000
0.8200 0.8200 0.6399
0.1800 0.1800 0.3601
0.3663 0.3663 0.7325
0.6337 0.6337 0.2675
0.0000 0.0000 0.0000
```

Calculated values
Calculated volume, Å³/cell: 247
Energy, eV/atom: -4.31
Formation energy from the elements, eV/atom: 0.197



Entry 16:
Here is La2Sm3Bi2 after structural relaxation from Alexandria. Energies are from PBE.

Structure (POSCAR):
```
La2Sm3Bi2
1.0
4.3067 0.0000 0.0000
0.0000 5.2841 -0.5867
-2.1533 -1.5040 10.5274
Sm La Bi
3 2 2
direct
0.0000 0.5000 0.0000
0.7495 0.2495 0.4990
0.2505 0.7505 0.5010
0.8958 0.8960 0.7916
0.1042 0.1040 0.2084
0.3731 0.3733 0.7462
0.6269 0.6267 0.2538
```

Calculated values
Calculated volume, Å³/cell: 236
Energy, eV/atom: -4.96
Formation energy from the elements, eV/atom: -0.422



Entry 17:
Here is LaSm2Bi after structural relaxation from Alexandria. Energies are from PBE.

Structure (POSCAR):
```
LaSm2Bi
1.0
-3.9054 -2.9859 0.0340
3.0543 -3.9942 0.0518
-0.0038 0.0622 5.0280
Sm Bi La
2 1 1
direct
0.0000 0.5000 0.0000
0.0000 0.0000 0.5000
0.5000 0.0000 0.0000
0.5000 0.5000 0.5000
```

Calculated values
Calculated volume, Å³/cell: 124
Energy, eV/atom: -5.00
Formation energy from the elements, eV/atom: -0.440



Entry 18:
Here is LaSmBi after structural relaxation from Alexandria. Energies are from PBE.

Structure (POSCAR):
```
LaSmBi
1.0
-2.5128 -1.3506 -3.6873
8.3569 1.1134 -6.1030
2.1147 -7.9038 1.4538
Sm La Bi
4 4 4
direct
0.7500 0.0566 0.1321
0.2500 0.5566 0.3679
0.7500 0.4434 0.6321
0.2500 0.9434 0.8679
0.7500 0.8268 0.5562
0.2500 0.1732 0.4438
0.2500 0.3268 0.9438
0.7500 0.6732 0.0562
0.2500 0.6377 0.7637
0.7500 0.1377 0.7363
0.2500 0.8623 0.2637
0.7500 0.3623 0.2363
```

Calculated values
Calculated volume, Å³/cell: 403
Energy, eV/atom: -5.17
Formation energy from the elements, eV/atom: -0.663



Entry 19:
Here is La2SmBi3 after structural relaxation from Alexandria. Energies are from PBE.

Structure (POSCAR):
```
La2SmBi3
1.0
-0.1172 -2.3130 -4.0458
6.5230 0.7061 -0.5927
-2.2421 -5.2094 5.7291
Sm La Bi
1 2 3
direct
0.0000 0.5000 0.0000
0.6675 0.1675 0.3350
0.3325 0.8325 0.6650
0.3373 0.3373 0.6746
0.6627 0.6627 0.3254
0.0000 0.0000 0.0000
```

Calculated values
Calculated volume, Å³/cell: 214
Energy, eV/atom: -5.38
Formation energy from the elements, eV/atom: -1.010



Entry 20:
Here is LaSm3Bi2 after structural relaxation from Alexandria. Energies are from PBE.

Structure (POSCAR):
```
LaSm3Bi2
1.0
4.4965 0.0000 0.0000
-2.2482 10.6491 -0.6186
0.0000 -5.3450 8.6431
Bi Sm La
4 6 2
direct
0.2464 0.4928 0.7797
0.4889 0.9778 0.8209
0.7536 0.5072 0.2203
0.5111 0.0222 0.1791
0.3582 0.7163 0.1903
0.6883 0.3766 0.4873
0.0577 0.1154 0.4440
0.9423 0.8846 0.5560
0.3117 0.6234 0.5127
0.6418 0.2837 0.8097
0.8881 0.7762 0.8983
0.1119 0.2238 0.1017
```

Calculated values
Calculated volume, Å³/cell: 399
Energy, eV/atom: -5.04
Formation energy from the elements, eV/atom: -0.568



Entry 21:
Here is LaSm2Bi after structural relaxation from Alexandria. Energies are from PBE.

Structure (POSCAR):
```
LaSm2Bi
1.0
5.6038 0.0000 0.0000
2.8019 4.8530 0.0000
2.8019 1.6177 4.5763
Sm La Bi
2 1 1
direct
0.2499 0.2499 0.2502
0.7501 0.7501 0.7498
0.0000 0.0000 0.0000
0.5000 0.5000 0.5000
```

Calculated values
Calculated volume, Å³/cell: 124
Energy, eV/atom: -4.79
Formation energy from the elements, eV/atom: -0.231



Entry 22:
Here is LaSm3Bi4 after structural relaxation from Alexandria. Energies are from PBE.

Structure (POSCAR):
```
LaSm3Bi4
1.0
-5.4959 3.4276 0.5243
0.1760 -0.7056 6.4575
3.4630 5.4755 0.5039
Sm Bi La
3 4 1
direct
0.0000 0.5000 0.5000
0.5000 0.0000 0.5000
0.5000 0.5000 0.0000
0.0000 0.5000 0.0000
0.0000 0.0000 0.5000
0.5000 0.0000 0.0000
0.5000 0.5000 0.5000
0.0000 0.0000 0.0000
```

Calculated values
Calculated volume, Å³/cell: 274
Energy, eV/atom: -5.28
Formation energy from the elements, eV/atom: -0.956